Here is a relaxed Ac6SbIr2Se3 crystal from Alexandria. Energies are from GGA-PBE.

CIF file:
```
data_Ac6SbIr2Se3
_cell_length_a 19.843
_cell_length_b 4.447
_cell_length_c 9.291
_cell_angle_alpha 90.00
_cell_angle_beta 105.44
_cell_angle_gamma 90.00
_symmetry_space_group_name_H-M 'C 1 2/m 1'
_symmetry_Int_Tables_number 12
loop_
_symmetry_equiv_pos_as_xyz
'x,y,z'
'-x,-y,-z'
'-x,y,-z'
'x,-y,z'
'x+1/2,y+1/2,z'
'-x+1/2,-y+1/2,-z'
'-x+1/2,y+1/2,-z'
'x+1/2,-y+1/2,z'
loop_
_atom_site_label
_atom_site_type_symbol
_atom_site_fract_x
_atom_site_fract_y
_atom_site_fract_z
Ac1 Ac 0.012 0.000 0.263
Ac2 Ac 0.173 0.500 0.113
Ac3 Ac 0.175 0.500 0.569
Sb1 Sb 0.000 0.500 0.000
Ir1 Ir 0.169 0.000 0.337
Se1 Se 0.000 0.500 0.500
Se2 Se 0.160 0.000 0.838
```



Here is a relaxed Ac8SbIr3Se4 crystal from Alexandria. Energies are from GGA-PBE.

CIF file:
```
data_Ac8SbIr3Se4
_cell_length_a 8.9085
_cell_length_b 8.9085
_cell_length_c 22.8044
_cell_angle_alpha 90.00
_cell_angle_beta 90.00
_cell_angle_gamma 120.00
_symmetry_space_group_name_H-M 'R -3 m'
_symmetry_Int_Tables_number 166
_symmetry_space_group_name_Hall '-R 3 2"'
loop_
_atom_site_label
_atom_site_type_symbol
_atom_site_fract_x
_atom_site_fract_y
_atom_site_fract_z
Ac1 Ac 0.0000 0.0000 0.2423
Ac2 Ac 0.0192 0.5096 0.7573
Sb1 Sb 0.0000 0.0000 0.5000
Ir1 Ir 0.0000 0.5000 0.5000
Se1 Se 0.0000 0.0000 0.0000
Se2 Se 0.0000 0.5000 0.0000
```



Here is a relaxed Ac2SmSb4Ir3 crystal from Alexandria. Energies are from GGA-PBE.

CIF file:
```
data_Ac2SmSb4Ir3
_cell_length_a 4.655
_cell_length_b 4.655
_cell_length_c 11.669
_cell_angle_alpha 90.00
_cell_angle_beta 90.00
_cell_angle_gamma 90.00
_symmetry_space_group_name_H-M 'P -4 m 2'
_symmetry_Int_Tables_number 115
loop_
_symmetry_equiv_pos_as_xyz
'x,y,z'
'y,-x,-z'
'-x,-y,z'
'-y,x,-z'
'-x,y,z'
'-y,-x,-z'
'x,-y,z'
'y,x,-z'
loop_
_atom_site_label
_atom_site_type_symbol
_atom_site_fract_x
_atom_site_fract_y
_atom_site_fract_z
Ac1 Ac 0.000 0.500 0.229
Sm1 Sm 0.000 0.000 0.500
Sb1 Sb 0.000 0.000 0.000
Sb2 Sb 0.000 0.500 0.660
Sb3 Sb 0.500 0.500 0.000
Ir1 Ir 0.000 0.500 0.889
Ir2 Ir 0.500 0.500 0.500
```



Here is a relaxed Ac2SnSb3Ir4 crystal from Alexandria. Energies are from GGA-PBE.

CIF file:
```
data_Ac2SnSb3Ir4
_cell_length_a 4.615
_cell_length_b 4.615
_cell_length_c 10.765
_cell_angle_alpha 90.00
_cell_angle_beta 90.00
_cell_angle_gamma 90.00
_symmetry_space_group_name_H-M 'P -4 m 2'
_symmetry_Int_Tables_number 115
loop_
_symmetry_equiv_pos_as_xyz
'x,y,z'
'y,-x,-z'
'-x,-y,z'
'-y,x,-z'
'-x,y,z'
'-y,-x,-z'
'x,-y,z'
'y,x,-z'
loop_
_atom_site_label
_atom_site_type_symbol
_atom_site_fract_x
_atom_site_fract_y
_atom_site_fract_z
Ac1 Ac 0.000 0.500 0.248
Sn1 Sn 0.000 0.000 0.500
Sb1 Sb 0.000 0.500 0.871
Sb2 Sb 0.500 0.500 0.500
Ir1 Ir 0.000 0.000 0.000
Ir2 Ir 0.000 0.500 0.627
Ir3 Ir 0.500 0.500 0.000
```



Here is a relaxed Ac6SbTe3Ir2 crystal from Alexandria. Energies are from GGA-PBE.

CIF file:
```
data_Ac6SbTe3Ir2
_cell_length_a 7.896
_cell_length_b 13.676
_cell_length_c 8.385
_cell_angle_alpha 90.00
_cell_angle_beta 108.73
_cell_angle_gamma 90.00
_symmetry_space_group_name_H-M 'C 1 2/m 1'
_symmetry_Int_Tables_number 12
loop_
_symmetry_equiv_pos_as_xyz
'x,y,z'
'-x,-y,-z'
'-x,y,-z'
'x,-y,z'
'x+1/2,y+1/2,z'
'-x+1/2,-y+1/2,-z'
'-x+1/2,y+1/2,-z'
'x+1/2,-y+1/2,z'
loop_
_atom_site_label
_atom_site_type_symbol
_atom_site_fract_x
_atom_site_fract_y
_atom_site_fract_z
Ac1 Ac 0.211 0.000 0.214
Ac2 Ac 0.249 0.181 0.782
Sb1 Sb 0.000 0.500 0.000
Te1 Te 0.000 0.000 0.500
Te2 Te 0.000 0.343 0.500
Ir1 Ir 0.000 0.168 0.000
```



Here is a relaxed Ac8SbTe4Ir3 crystal from Alexandria. Energies are from GGA-PBE.

CIF file:
```
data_Ac8SbTe4Ir3
_cell_length_a 9.0882
_cell_length_b 9.0882
_cell_length_c 23.7463
_cell_angle_alpha 90.00
_cell_angle_beta 90.00
_cell_angle_gamma 120.00
_symmetry_space_group_name_H-M 'R -3 m'
_symmetry_Int_Tables_number 166
_symmetry_space_group_name_Hall '-R 3 2"'
loop_
_atom_site_label
_atom_site_type_symbol
_atom_site_fract_x
_atom_site_fract_y
_atom_site_fract_z
Ac1 Ac 0.0000 0.0000 0.2373
Ac2 Ac 0.0204 0.5102 0.7622
Sb1 Sb 0.0000 0.0000 0.5000
Te1 Te 0.0000 0.0000 0.0000
Te2 Te 0.0000 0.5000 0.0000
Ir1 Ir 0.0000 0.5000 0.5000
```



Here is a relaxed Ac2ThSb3Ir4 crystal from Alexandria. Energies are from GGA-PBE.

CIF file:
```
data_Ac2ThSb3Ir4
_cell_length_a 4.616
_cell_length_b 4.616
_cell_length_c 11.361
_cell_angle_alpha 90.00
_cell_angle_beta 90.00
_cell_angle_gamma 90.00
_symmetry_space_group_name_H-M 'P -4 m 2'
_symmetry_Int_Tables_number 115
loop_
_symmetry_equiv_pos_as_xyz
'x,y,z'
'y,-x,-z'
'-x,-y,z'
'-y,x,-z'
'-x,y,z'
'-y,-x,-z'
'x,-y,z'
'y,x,-z'
loop_
_atom_site_label
_atom_site_type_symbol
_atom_site_fract_x
_atom_site_fract_y
_atom_site_fract_z
Ac1 Ac 0.000 0.500 0.225
Th1 Th 0.000 0.000 0.500
Sb1 Sb 0.000 0.500 0.875
Sb2 Sb 0.500 0.500 0.500
Ir1 Ir 0.000 0.000 0.000
Ir2 Ir 0.000 0.500 0.643
Ir3 Ir 0.500 0.500 0.000
```



Here is a relaxed Ac2TmSb4Ir3 crystal from Alexandria. Energies are from GGA-PBE.

CIF file:
```
data_Ac2TmSb4Ir3
_cell_length_a 4.629
_cell_length_b 4.629
_cell_length_c 11.522
_cell_angle_alpha 90.00
_cell_angle_beta 90.00
_cell_angle_gamma 90.00
_symmetry_space_group_name_H-M 'P -4 m 2'
_symmetry_Int_Tables_number 115
loop_
_symmetry_equiv_pos_as_xyz
'x,y,z'
'y,-x,-z'
'-x,-y,z'
'-y,x,-z'
'-x,y,z'
'-y,-x,-z'
'x,-y,z'
'y,x,-z'
loop_
_atom_site_label
_atom_site_type_symbol
_atom_site_fract_x
_atom_site_fract_y
_atom_site_fract_z
Ac1 Ac 0.000 0.500 0.234
Tm1 Tm 0.000 0.000 0.500
Sb1 Sb 0.000 0.000 0.000
Sb2 Sb 0.000 0.500 0.653
Sb3 Sb 0.500 0.500 0.000
Ir1 Ir 0.000 0.500 0.886
Ir2 Ir 0.500 0.500 0.500
```



Here is a relaxed Ac2USb3Ir4 crystal from Alexandria. Energies are from GGA-PBE.

CIF file:
```
data_Ac2USb3Ir4
_cell_length_a 4.544
_cell_length_b 4.544
_cell_length_c 11.370
_cell_angle_alpha 90.00
_cell_angle_beta 90.00
_cell_angle_gamma 90.00
_symmetry_space_group_name_H-M 'P -4 m 2'
_symmetry_Int_Tables_number 115
loop_
_symmetry_equiv_pos_as_xyz
'x,y,z'
'y,-x,-z'
'-x,-y,z'
'-y,x,-z'
'-x,y,z'
'-y,-x,-z'
'x,-y,z'
'y,x,-z'
loop_
_atom_site_label
_atom_site_type_symbol
_atom_site_fract_x
_atom_site_fract_y
_atom_site_fract_z
Ac1 Ac 0.000 0.500 0.233
U1 U 0.000 0.000 0.500
Sb1 Sb 0.000 0.500 0.873
Sb2 Sb 0.500 0.500 0.500
Ir1 Ir 0.000 0.000 0.000
Ir2 Ir 0.000 0.500 0.638
Ir3 Ir 0.500 0.500 0.000
```



Here is a relaxed Ac2YSb3Ir4 crystal from Alexandria. Energies are from GGA-PBE.

CIF file:
```
data_Ac2YSb3Ir4
_cell_length_a 4.466
_cell_length_b 4.466
_cell_length_c 11.707
_cell_angle_alpha 90.00
_cell_angle_beta 90.00
_cell_angle_gamma 90.00
_symmetry_space_group_name_H-M 'P -4 m 2'
_symmetry_Int_Tables_number 115
loop_
_symmetry_equiv_pos_as_xyz
'x,y,z'
'y,-x,-z'
'-x,-y,z'
'-y,x,-z'
'-x,y,z'
'-y,-x,-z'
'x,-y,z'
'y,x,-z'
loop_
_atom_site_label
_atom_site_type_symbol
_atom_site_fract_x
_atom_site_fract_y
_atom_site_fract_z
Ac1 Ac 0.000 0.500 0.239
Y1 Y 0.000 0.000 0.500
Sb1 Sb 0.000 0.500 0.872
Sb2 Sb 0.500 0.500 0.500
Ir1 Ir 0.000 0.000 0.000
Ir2 Ir 0.000 0.500 0.648
Ir3 Ir 0.500 0.500 0.000
```



Here is a relaxed Ac2ZnSb3Ir4 crystal from Alexandria. Energies are from GGA-PBE.

CIF file:
```
data_Ac2ZnSb3Ir4
_cell_length_a 4.496
_cell_length_b 4.496
_cell_length_c 10.943
_cell_angle_alpha 90.00
_cell_angle_beta 90.00
_cell_angle_gamma 90.00
_symmetry_space_group_name_H-M 'P -4 m 2'
_symmetry_Int_Tables_number 115
loop_
_symmetry_equiv_pos_as_xyz
'x,y,z'
'y,-x,-z'
'-x,-y,z'
'-y,x,-z'
'-x,y,z'
'-y,-x,-z'
'x,-y,z'
'y,x,-z'
loop_
_atom_site_label
_atom_site_type_symbol
_atom_site_fract_x
_atom_site_fract_y
_atom_site_fract_z
Ac1 Ac 0.000 0.500 0.241
Zn1 Zn 0.500 0.500 0.000
Sb1 Sb 0.000 0.000 0.000
Sb2 Sb 0.000 0.500 0.634
Ir1 Ir 0.000 0.000 0.500
Ir2 Ir 0.000 0.500 0.872
Ir3 Ir 0.500 0.500 0.500
```



Here is a relaxed AcZnSbIr crystal from Alexandria. Energies are from GGA-PBE.

CIF file:
```
data_AcZnSbIr
_cell_length_a 7.160
_cell_length_b 7.160
_cell_length_c 7.160
_cell_angle_alpha 90.00
_cell_angle_beta 90.00
_cell_angle_gamma 90.00
_symmetry_space_group_name_H-M 'F -4 3 m'
_symmetry_Int_Tables_number 216
_symmetry_space_group_name_Hall 'F -4 2 3'
loop_
_atom_site_label
_atom_site_type_symbol
_atom_site_fract_x
_atom_site_fract_y
_atom_site_fract_z
Ac1 Ac 0.000 0.000 0.000
Zn1 Zn 0.250 0.250 0.250
Sb1 Sb 0.000 0.000 0.500
Ir1 Ir 0.250 0.250 0.750
```



These records have E_tot values of -6.104 -6.144 -6.299 -6.634 -5.842 -5.902 -7.032 -6.299 -7.325 -6.943 -6.342 -4.817 eV per atom, in the order they appear.
These records have total magnetic moment values of 0.00 0.00 0.00 0.71 0.00 0.00 0.90 0.00 2.96 0.00 0.00 0.00 μB/f.u., in the order they appear.
These records have raw formation energy values of -1.36 -1.30 -0.70 -0.63 -1.18 -1.14 -0.69 -0.72 -0.59 -0.69 -0.61 -0.23 eV/atom, in the order they appear.